Entry 1:
# SrTlSeS2

A relaxed structure of SrTlSeS2 (PBE-GGA, the Alexandria database).

Summary:
The calculation puts the energy relative to the elements, uncorrected at -792 meV per atom. Its space group is P2/c, No. 13.

Cell: 7.5691 4.6992 8.1308 Å, 90.00 103.39 90.00°
Last column: nearest neighbours and their distance in Å.
Fractional positions:
Sr: 0.0000 0.0038 0.2500  4 S 3.07-3.09, 4 Se 3.09-3.12
Sr: 0.0000 0.9962 0.7500  4 S 3.07-3.09, 4 Se 3.09-3.12
Tl: 0.5000 0.3121 0.7500  6 S 3.01-3.32
Tl: 0.5000 0.6879 0.2500  6 S 3.01-3.32
Se: 0.0000 0.5000 0.0000  2 S 2.53
Se: 0.0000 0.5000 0.5000  2 S 2.53
S: 0.2864 0.2036 0.0586  1 Se 2.53
S: 0.2864 0.7964 0.5586  1 Se 2.53
S: 0.7136 0.2036 0.4414  1 Se 2.53
S: 0.7136 0.7964 0.9414  1 Se 2.53


Entry 2:
# Mg3BeTe

A relaxed structure of Mg3BeTe (PBE-GGA, the Alexandria database).

Summary:
The calculation puts the energy relative to the elements, uncorrected at 824 meV per atom. Its space group is Pm-3m, No. 221. The energy above the lowest structure with this stoichiometry comes out at 68.6 kJ/mol of atoms.

Cell: 5.4234 5.4234 5.4234 Å, 90.00 90.00 90.00°
Last column: nearest neighbours and their distance in Å.
Fractional positions:
Mg: 0.0000 0.0000 0.5000  2 Te 2.71
Mg: 0.0000 0.5000 0.0000  2 Te 2.71
Mg: 0.5000 0.0000 0.0000  2 Te 2.71
Be: 0.5000 0.5000 0.5000  12 Mg 3.83
Te: 0.0000 0.0000 0.0000  6 Mg 2.71


Entry 3:
# ClF3

A relaxed structure of ClF3 (PBE-GGA, the Alexandria database).

Summary:
The calculation puts the energy relative to the elements, uncorrected at -649 meV per atom. Its space group is P2_1/c, No. 14.

Cell: 8.0986 4.4720 15.3913 Å, 90.00 99.74 90.00°
Last column: nearest neighbours and their distance in Å.
Fractional positions:
Cl: 0.1536 0.0021 0.3953  2 F 1.68
Cl: 0.1536 0.4979 0.8953  2 F 1.68
Cl: 0.2653 0.7079 0.6159  2 F 1.67-1.68
Cl: 0.2653 0.7921 0.1159  2 F 1.67-1.68
Cl: 0.7347 0.2079 0.8841  2 F 1.67-1.68
Cl: 0.7347 0.2921 0.3841  2 F 1.67-1.68
Cl: 0.8464 0.5021 0.1047  2 F 1.68
Cl: 0.8464 0.9979 0.6047  2 F 1.68
F: 0.0975 0.0481 0.6269  2 Cl 2.02-2.07
F: 0.0975 0.4519 0.1269  2 Cl 2.02-2.07
F: 0.1337 0.2323 0.8171  1 Cl 1.68
F: 0.1337 0.2677 0.3171  1 Cl 1.68
F: 0.1720 0.6623 0.4860  2 Cl 2.03-2.05
F: 0.1720 0.8377 0.9860  2 Cl 2.03-2.05
F: 0.3379 0.7409 0.7245  1 Cl 1.68
F: 0.3379 0.7591 0.2245  1 Cl 1.68
F: 0.3638 0.0326 0.4138  1 Cl 1.68
F: 0.3638 0.4674 0.9138  1 Cl 1.68
F: 0.4040 0.0603 0.1043  1 Cl 1.67
F: 0.4040 0.4397 0.6043  1 Cl 1.67
F: 0.5960 0.5603 0.3957  1 Cl 1.67
F: 0.5960 0.9397 0.8957  1 Cl 1.67
F: 0.6362 0.5326 0.0862  1 Cl 1.68
F: 0.6362 0.9674 0.5862  1 Cl 1.68
F: 0.6621 0.2409 0.7755  1 Cl 1.68
F: 0.6621 0.2591 0.2755  1 Cl 1.68
F: 0.8280 0.1623 0.0140  2 Cl 2.03-2.05
F: 0.8280 0.3377 0.5140  2 Cl 2.03-2.05
F: 0.8663 0.7323 0.6829  1 Cl 1.68
F: 0.8663 0.7677 0.1829  1 Cl 1.68
F: 0.9025 0.5481 0.8731  2 Cl 2.02-2.07
F: 0.9025 0.9519 0.3731  2 Cl 2.02-2.07


Entry 4:
# Pr3SmSc

A relaxed structure of Pr3SmSc (PBE-GGA, the Alexandria database).

Summary:
For the formation energy, the calculation gives 0.39 eV per atom. Its space group is Imma, No. 74. The energy above the lowest structure with this stoichiometry comes out at 19.9 kJ/mol of atoms.

Cell: 10.1028 10.1028 10.1028 Å, 146.33 51.55 142.14°
Last column: nearest neighbours and their distance in Å.
Fractional positions:
Pr: 0.1053 0.0145 0.0908  1 Sm 3.14, 1 Pr 3.31, 2 Sc 3.36
Pr: 0.3826 0.6326 0.7500  1 Sm 3.03, 2 Pr 3.31
Pr: 0.4236 0.0145 0.4092  1 Sm 3.14, 1 Pr 3.31, 2 Sc 3.36
Pr: 0.5764 0.9855 0.5908  1 Sm 3.14, 1 Pr 3.31, 2 Sc 3.36
Pr: 0.6174 0.3674 0.2500  1 Sm 3.03, 2 Pr 3.31
Pr: 0.8947 0.9855 0.9092  1 Sm 3.14, 1 Pr 3.31, 2 Sc 3.36
Sm: 0.0798 0.8298 0.2500  3 Pr 3.03-3.14, 2 Sm 3.11
Sm: 0.9202 0.1702 0.7500  3 Pr 3.03-3.14, 2 Sm 3.11
Sc: 0.0000 0.5000 0.5000  8 Pr 3.36-3.76
Sc: 0.5000 0.5000 0.0000  8 Pr 3.36-3.76


Entry 5:
# MgUGa2Pt2

A relaxed structure of MgUGa2Pt2 (PBE-GGA, the Alexandria database).

Summary:
For the formation energy, the calculation gives -0.64 eV per atom. Its space group is P-3m1, No. 164.

Cell: 4.4180 4.4180 6.5298 Å, 90.00 90.00 120.00°
Last column: nearest neighbours and their distance in Å.
Fractional positions:
Mg: 0.0000 0.0000 0.0000  6 Ga 2.90, 6 Pt 3.00
U: 0.0000 0.0000 0.5000  6 Pt 3.05, 6 Ga 3.18, 2 Mg 3.26
Ga: 0.3333 0.6667 0.2097  3 Pt 2.56
Ga: 0.6667 0.3333 0.7903  3 Pt 2.56
Pt: 0.3333 0.6667 0.7569  3 Ga 2.56
Pt: 0.6667 0.3333 0.2431  3 Ga 2.56


Entry 6:
# Tl2SiBr

A relaxed structure of Tl2SiBr (PBE-GGA, the Alexandria database).

Summary:
The calculation puts the energy relative to the elements, uncorrected at 109 meV per atom. Its space group is C2/m, No. 12. The energy above the lowest structure with this stoichiometry comes out at 4.5 kJ/mol of atoms.

Cell: 8.0549 7.9068 3.5231 Å, 90.00 99.20 90.00°
Last column: nearest neighbours and their distance in Å.
Fractional positions:
Tl: 0.2500 0.2500 0.0000  4 Br 3.15-3.49, 4 Si 3.15-3.49, 2 Tl 3.52
Tl: 0.2500 0.7500 0.0000  4 Br 3.15-3.49, 4 Si 3.15-3.49, 2 Tl 3.52
Tl: 0.7500 0.2500 0.0000  4 Br 3.15-3.49, 4 Si 3.15-3.49, 2 Tl 3.52
Tl: 0.7500 0.7500 0.0000  4 Br 3.15-3.49, 4 Si 3.15-3.49, 2 Tl 3.52
Si: 0.0000 0.0000 0.5000  8 Tl 3.15-3.49, 2 Si 3.52
Si: 0.5000 0.5000 0.5000  8 Tl 3.15-3.49, 2 Si 3.52
Br: 0.0000 0.5000 0.5000  8 Tl 3.15-3.49, 2 Br 3.52
Br: 0.5000 0.0000 0.5000  8 Tl 3.15-3.49, 2 Br 3.52


Copy entry 6 word for word.
# Tl2SiBr

A relaxed structure of Tl2SiBr (PBE-GGA, the Alexandria database).

Summary:
The calculation puts the energy relative to the elements, uncorrected at 109 meV per atom. Its space group is C2/m, No. 12. The energy above the lowest structure with this stoichiometry comes out at 4.5 kJ/mol of atoms.

Cell: 8.0549 7.9068 3.5231 Å, 90.00 99.20 90.00°
Last column: nearest neighbours and their distance in Å.
Fractional positions:
Tl: 0.2500 0.2500 0.0000  4 Br 3.15-3.49, 4 Si 3.15-3.49, 2 Tl 3.52
Tl: 0.2500 0.7500 0.0000  4 Br 3.15-3.49, 4 Si 3.15-3.49, 2 Tl 3.52
Tl: 0.7500 0.2500 0.0000  4 Br 3.15-3.49, 4 Si 3.15-3.49, 2 Tl 3.52
Tl: 0.7500 0.7500 0.0000  4 Br 3.15-3.49, 4 Si 3.15-3.49, 2 Tl 3.52
Si: 0.0000 0.0000 0.5000  8 Tl 3.15-3.49, 2 Si 3.52
Si: 0.5000 0.5000 0.5000  8 Tl 3.15-3.49, 2 Si 3.52
Br: 0.0000 0.5000 0.5000  8 Tl 3.15-3.49, 2 Br 3.52
Br: 0.5000 0.0000 0.5000  8 Tl 3.15-3.49, 2 Br 3.52